1.
# Ho2Er2O5

Crystalline Ho2Er2O5 at its relaxed geometry (PBE, OQMD via LeMat-Bulk).

Output
The uncorrected energy is -7.679 eV per atom. For the energy above the most stable polymorph in this dataset, the calculation gives 0.021 eV/atom.

Cell: 9.240 3.885 3.885 Å, 90.00 90.00 90.00°
Each line ends with the local moment (μB).
Sites, in units of the cell vectors:
1 Er 0.000 0.000 0.000  0.01
2 O 0.855 0.500 0.000  0.01
3 Ho 0.243 0.500 0.500  0.07
4 O 0.145 0.000 0.500  0.02
5 Er 0.500 0.000 0.000  0.64
6 Ho 0.757 0.500 0.500  0.07
7 O 0.855 0.000 0.500  0.02
8 O 0.145 0.500 0.000  0.01
9 O 0.500 0.500 0.500  0.04

2.
# HoErSeO2

Crystalline HoErSeO2 at its relaxed geometry (PBE, OQMD via LeMat-Bulk).

Output
The uncorrected energy is -7.638 eV per atom.

Cell: 3.790 3.790 6.719 Å, 90.00 90.00 120.00°
Sites, in units of the cell vectors:
1 O 0.333 0.667 0.627
2 Se 0.667 0.333 0.999
3 Er 0.000 0.000 0.709
4 O 0.000 0.000 0.374
5 Ho 0.333 0.667 0.290

3.
# HoErTeO2

Crystalline HoErTeO2 at its relaxed geometry (PBE, OQMD via LeMat-Bulk).

Output
The uncorrected energy is -7.413 eV per atom. For the energy above the most stable polymorph in this dataset, the calculation gives 0.000 eV/atom.

Cell: 6.755 6.755 6.755 Å, 146.57 146.57 48.01°
Sites, in units of the cell vectors:
1 Te 0.000 0.000 0.000
2 O 0.249 0.749 0.500
3 Ho 0.338 0.338 0.000
4 Er 0.663 0.663 0.000
5 O 0.749 0.249 0.500

4.
# HoErTeO2

Crystalline HoErTeO2 at its relaxed geometry (PBE, OQMD via LeMat-Bulk).

Output
The uncorrected energy is -7.332 eV per atom. For the energy above the most stable polymorph in this dataset, the calculation gives 0.082 eV/atom.

Cell: 3.864 3.864 7.105 Å, 90.00 90.00 120.00°
Sites, in units of the cell vectors:
1 Ho 0.333 0.667 0.304
2 Te 0.667 0.333 0.999
3 Er 0.000 0.000 0.696
4 O 0.333 0.667 0.622
5 O 0.000 0.000 0.379

5.
# HoEr2Sc3P2Os

Crystalline HoEr2Sc3P2Os at its relaxed geometry (PBE, OQMD via LeMat-Bulk).

Output
The uncorrected energy is -6.943 eV per atom.

Cell: 4.046 7.381 7.381 Å, 120.03 90.00 90.00°
Sites, in units of the cell vectors:
1 Er 0.000 0.589 0.001
2 Sc 0.500 0.757 0.757
3 Sc 0.500 0.000 0.242
4 P 0.500 0.333 0.668
5 Os 0.000 0.998 0.998
6 Sc 0.500 0.242 0.000
7 Ho 0.000 0.412 0.412
8 P 0.500 0.668 0.333
9 Er 0.000 0.001 0.589

6.
# Y3Ho2ErP2Os

Crystalline Y3Ho2ErP2Os at its relaxed geometry (PBE, OQMD via LeMat-Bulk).

Output
The uncorrected energy is -6.878 eV per atom.

Cell: 4.135 7.719 7.719 Å, 119.87 90.00 90.00°
Sites, in units of the cell vectors:
1 Er 0.000 0.751 0.751
2 Ho 0.000 0.000 0.249
3 P 0.000 0.666 0.334
4 P 0.000 0.334 0.666
5 Y 0.500 0.590 0.000
6 Y 0.500 0.411 0.411
7 Ho 0.000 0.249 0.000
8 Y 0.500 0.000 0.590
9 Os 0.500 0.998 0.998

7.
# Y3HoEr2P2Os

Crystalline Y3HoEr2P2Os at its relaxed geometry (PBE, OQMD via LeMat-Bulk).

Output
The uncorrected energy is -6.881 eV per atom.

Cell: 4.136 7.720 7.720 Å, 120.12 90.00 90.00°
Sites, in units of the cell vectors:
1 P 0.000 0.667 0.332
2 P 0.000 0.332 0.667
3 Y 0.500 0.000 0.590
4 Er 0.000 0.000 0.249
5 Ho 0.000 0.751 0.751
6 Y 0.500 0.590 0.000
7 Y 0.500 0.409 0.409
8 Er 0.000 0.249 0.000
9 Os 0.500 0.002 0.002

8.
# HoEr2Sc3Sb2Os

Crystalline HoEr2Sc3Sb2Os at its relaxed geometry (PBE, OQMD via LeMat-Bulk).

Output
The uncorrected energy is -6.537 eV per atom.

Cell: 4.176 7.783 7.783 Å, 119.97 90.00 90.00°
Sites, in units of the cell vectors:
1 Sc 0.500 0.771 0.000
2 Er 0.000 0.000 0.393
3 Sb 0.500 0.333 0.667
4 Sb 0.500 0.667 0.333
5 Sc 0.500 0.229 0.229
6 Sc 0.500 0.000 0.771
7 Ho 0.000 0.606 0.606
8 Er 0.000 0.393 0.000
9 Os 0.000 0.001 0.001

Number 2 is which compound?
HoErSeO2